Here is an optimized crystal structure of K2MnReN4 from Alexandria via LeMat-Bulk. Energies are from PBE.

Values from the calculation:
Energy relative to the elements, uncorrected (eV per atom): -0.24
Calculated volume (Å³ per cell): 259

Lattice parameters (Å, degrees): 5.9509 6.4038 6.7978 90.00 90.00 90.00
Space group Pmmn (No. 59, origin choice 2)
Unique sites:
K  0.2500  0.0011  0.2011 (multiplicity 4)
Mn  0.2500  0.7500  0.6553 (multiplicity 2)
Re  0.2500  0.2500  0.6461 (multiplicity 2)
N  0.0019  0.7500  0.5133 (multiplicity 4)
N  0.2500  0.5018  0.7921 (multiplicity 4)

---

Here is an optimized crystal structure of K2MnSbN from Alexandria via LeMat-Bulk. Energies are from PBE.

Values from the calculation:
Energy relative to the elements, uncorrected (eV per atom): 1.01
Calculated volume (Å³ per cell): 238

Lattice parameters (Å, degrees): 6.8409 6.8409 5.0806 90.00 90.00 90.00
Space group P4/mmm (No. 123)
Unique sites:
K  0.0000  0.5000  0.0000 (multiplicity 2)
Mn  0.0000  0.0000  0.5000 (multiplicity 1)
Sb  0.0000  0.0000  0.0000 (multiplicity 1)
N  0.5000  0.5000  0.5000 (multiplicity 1)

---

Here is an optimized crystal structure of KThMnN4 from Alexandria via LeMat-Bulk. Energies are from PBE.

Values from the calculation:
Energy relative to the elements, uncorrected (eV per atom): -0.63
Calculated volume (Å³ per cell): 245

Lattice parameters (Å, degrees): 5.9702 5.4421 7.7366 90.00 102.77 90.00
Space group P2_1/m (No. 11)
Unique sites:
K  0.2220  0.2500  0.4251 (multiplicity 2)
Th  0.2532  0.2500  0.9337 (multiplicity 2)
Mn  0.2723  0.7500  0.1664 (multiplicity 2)
N  0.0841  0.7500  0.3013 (multiplicity 2)
N  0.1004  0.7500  0.9585 (multiplicity 2)
N  0.4517  0.5060  0.1823 (multiplicity 4)